# TcHgMoO6 (PBE with a Hubbard U, optimized geometry)
# E = -6.423 eV/atom
# N(E_F) = 1.68 states/eV/f.u.
data_TcHgMoO6
_chemical_formula_sum 'Tc1 Hg1 Mo1 O6'
_space_group_name_H-M_alt 'P 1'
_space_group_IT_number 1
_cell_length_a 5.497
_cell_length_b 5.497
_cell_length_c 5.275
_cell_angle_alpha 87.05
_cell_angle_beta 92.95
_cell_angle_gamma 54.96
loop_
_space_group_symop_operation_xyz
'x,y,z'
loop_
_atom_site_label
_atom_site_type_symbol
_atom_site_fract_x
_atom_site_fract_y
_atom_site_fract_z
Mo1 Mo 0.343 0.343 0.500
O1 O 0.951 0.431 0.293
O2 O 0.575 0.035 0.293
O3 O 0.329 0.675 0.296
O4 O 0.431 0.951 0.707
Hg1 Hg 0.004 0.004 0.000
O5 O 0.675 0.329 0.704
Tc1 Tc 0.657 0.657 0.500
O6 O 0.035 0.575 0.707